# BaSb2TeRh

BaSb2TeRh after structural relaxation (GGA-PBE, Alexandria).

Summary:
Crystal system = tetragonal
Formation energy (no corrections) = 1.475 eV/atom
DOS(E_F) = 16.09 states/eV per cell
Size of the total moment = 1.6 μB per formula unit

```
data_BaSb2TeRh
_cell_length_a 6.2426
_cell_length_b 6.2426
_cell_length_c 6.2969
_cell_angle_alpha 90.00
_cell_angle_beta 90.00
_cell_angle_gamma 90.00
_space_group_name_H-M_alt 'P 4/m m m'
_space_group_IT_number 123
_space_group_name_Hall '-P 4 2'
loop_
_atom_site_label
_atom_site_type_symbol
_atom_site_fract_x
_atom_site_fract_y
_atom_site_fract_z
Ba1 Ba 0.0000 0.0000 0.0000
Sb1 Sb 0.0000 0.5000 0.0000
Te1 Te 0.0000 0.0000 0.5000
Rh1 Rh 0.5000 0.5000 0.5000
```

# PmScMo2N6

PmScMo2N6 after structural relaxation (GGA-PBE, Alexandria).

Summary:
Crystal system = monoclinic
Formation energy (no corrections) = -0.818 eV/atom
DOS(E_F) = 0.00 states/eV per cell
Size of the total moment = 0.0 μB per formula unit

```
data_PmScMo2N6
_cell_length_a 11.4354
_cell_length_b 9.6004
_cell_length_c 6.3550
_cell_angle_alpha 90.00
_cell_angle_beta 115.53
_cell_angle_gamma 90.00
_space_group_name_H-M_alt 'C 1 2/c 1'
_space_group_IT_number 15
loop_
_space_group_symop_operation_xyz
'x,y,z'
'-x,-y,-z'
'-x,y,-z+1/2'
'x,-y,z+1/2'
'x+1/2,y+1/2,z'
'-x+1/2,-y+1/2,-z'
'-x+1/2,y+1/2,-z+1/2'
'x+1/2,-y+1/2,z+1/2'
loop_
_atom_site_label
_atom_site_type_symbol
_atom_site_fract_x
_atom_site_fract_y
_atom_site_fract_z
Pm1 Pm 0.0000 0.0977 0.2500
Sc1 Sc 0.0000 0.2760 0.7500
Mo1 Mo 0.2063 0.4161 0.1793
N1 N 0.1142 0.1125 0.6772
N2 N 0.1210 0.2555 0.1393
N3 N 0.1462 0.4624 0.8619
```

# SrMg4Sn3

SrMg4Sn3 after structural relaxation (GGA-PBE, Alexandria).

Summary:
Calculated formation energy = -0.3328 eV per atom
Crystal system = tetragonal
DOS(E_F) = 2.57 states/eV per cell
Size of the total moment = 0.0 μB per formula unit

```
data_SrMg4Sn3
_cell_length_a 4.8286
_cell_length_b 4.8286
_cell_length_c 9.5110
_cell_angle_alpha 90.00
_cell_angle_beta 90.00
_cell_angle_gamma 90.00
_space_group_name_H-M_alt 'P 4/m m m'
_space_group_IT_number 123
_space_group_name_Hall '-P 4 2'
loop_
_atom_site_label
_atom_site_type_symbol
_atom_site_fract_x
_atom_site_fract_y
_atom_site_fract_z
Sr1 Sr 0.0000 0.0000 0.0000
Mg1 Mg 0.0000 0.5000 0.3208
Sn1 Sn 0.0000 0.0000 0.5000
Sn2 Sn 0.5000 0.5000 0.1508
```

# Na3Hg4Pb3

Na3Hg4Pb3 after structural relaxation (GGA-PBE, Alexandria).

Summary:
Calculated formation energy = -0.1389 eV per atom
Crystal system = orthorhombic
DOS(E_F) = 6.30 states/eV per cell
Size of the total moment = 0.0 μB per formula unit

```
data_Na3Hg4Pb3
_cell_length_a 3.6980
_cell_length_b 12.0065
_cell_length_c 12.4672
_cell_angle_alpha 90.00
_cell_angle_beta 90.00
_cell_angle_gamma 90.00
_space_group_name_H-M_alt 'A m m 2'
_space_group_IT_number 38
loop_
_space_group_symop_operation_xyz
'x,y,z'
'-x,-y,z'
'-x,y,z'
'x,-y,z'
'x,y+1/2,z+1/2'
'-x,-y+1/2,z+1/2'
'-x,y+1/2,z+1/2'
'x,-y+1/2,z+1/2'
loop_
_atom_site_label
_atom_site_type_symbol
_atom_site_fract_x
_atom_site_fract_y
_atom_site_fract_z
Na1 Na 0.0000 0.0000 0.0000
Na2 Na 0.0000 0.1686 0.6768
Hg1 Hg 0.5000 0.0000 0.5583
Hg2 Hg 0.5000 0.0000 0.8033
Hg3 Hg 0.5000 0.1309 0.1654
Pb1 Pb 0.0000 0.0000 0.3504
Pb2 Pb 0.5000 0.2450 0.4175
```

# MgBeCo2

MgBeCo2 after structural relaxation (GGA-PBE, Alexandria).

Summary:
Calculated formation energy = 0.1560 eV per atom
Crystal system = tetragonal
DOS(E_F) = 6.05 states/eV per cell
Size of the total moment = 1.1 μB per formula unit

```
data_MgBeCo2
_cell_length_a 3.9380
_cell_length_b 3.9380
_cell_length_c 2.8996
_cell_angle_alpha 90.00
_cell_angle_beta 90.00
_cell_angle_gamma 90.00
_space_group_name_H-M_alt 'P 4/m m m'
_space_group_IT_number 123
_space_group_name_Hall '-P 4 2'
loop_
_atom_site_label
_atom_site_type_symbol
_atom_site_fract_x
_atom_site_fract_y
_atom_site_fract_z
Mg1 Mg 0.0000 0.0000 0.0000
Be1 Be 0.5000 0.5000 0.0000
Co1 Co 0.0000 0.5000 0.5000
```

# ThMgTlSn

ThMgTlSn after structural relaxation (GGA-PBE, Alexandria).

Summary:
Calculated formation energy = -0.3054 eV per atom
Crystal system = orthorhombic
DOS(E_F) = 2.01 states/eV per cell
Size of the total moment = 0.0 μB per formula unit

```
data_ThMgTlSn
_cell_length_a 4.5365
_cell_length_b 4.7802
_cell_length_c 4.9376
_cell_angle_alpha 90.00
_cell_angle_beta 90.00
_cell_angle_gamma 90.00
_space_group_name_H-M_alt 'P m m m'
_space_group_IT_number 47
loop_
_space_group_symop_operation_xyz
'x,y,z'
'-x,-y,-z'
'-x,-y,z'
'x,y,-z'
'x,-y,-z'
'-x,y,z'
'-x,y,-z'
'x,-y,z'
loop_
_atom_site_label
_atom_site_type_symbol
_atom_site_fract_x
_atom_site_fract_y
_atom_site_fract_z
Th1 Th 0.0000 0.0000 0.0000
Mg1 Mg 0.0000 0.5000 0.5000
Tl1 Tl 0.5000 0.0000 0.5000
Sn1 Sn 0.5000 0.5000 0.0000
```

- Among the records above, which one has the lowest DOS(E_F)?
  PmScMo2N6